i:
DFT (PBE-GGA) results for SiMoW2 after structural relaxation.

Lattice parameters (Å, degrees): 2.8805 4.0798 5.2411 90.00 90.00 90.00
Closest atoms and distances in Å follow each position.
Space group Pmm2 (No. 25)
Symmetry-distinct sites (fractional):
1 Si 0.0000 0.0000 0.0000  6 W 2.61-2.81, 4 Mo 2.79, 2 Si 2.88
2 Mo 0.5000 0.5000 0.7626  2 W 2.53-2.71, 4 Si 2.79
3 W 0.0000 0.0000 0.5011  2 Si 2.61-2.63, 6 W 2.83-2.88, 4 Mo 2.85
4 W 0.5000 0.5000 0.2463  2 Mo 2.53-2.71, 4 Si 2.81, 4 W 2.83

Values from the calculation:
Fermi-level density of states (states/eV per atom): 0.8047
Calculated volume (A^3/atom): 15.4


ii:
DFT (PBE-GGA) results for SiMoW2 after structural relaxation.

Lattice parameters (Å, degrees): 3.7213 3.7213 8.8421 90.00 90.00 90.00
Closest atoms and distances in Å follow each position.
Space group I4/mmm (No. 139)
Symmetry-distinct sites (fractional):
1 Si 0.0000 0.0000 0.0000  4 Mo 2.63, 8 W 2.89
2 Mo 0.0000 0.0000 0.5000  4 Si 2.63, 8 W 2.89
3 W 0.0000 0.5000 0.2500  4 W 2.63, 4 Mo 2.89, 4 Si 2.89

Values from the calculation:
Fermi-level density of states (states/eV per atom): 0.5838
Calculated volume (A^3/atom): 15.3


iii:
DFT (PBE-GGA) results for SiMoW2 after structural relaxation.

Lattice parameters (Å, degrees): 3.2070 4.3226 8.7070 90.00 90.00 90.00
Closest atoms and distances in Å follow each position.
Space group Imm2 (No. 44)
Symmetry-distinct sites (fractional):
1 Si 0.0000 0.0000 0.0000  6 W 2.69-2.71, 2 Mo 2.70
2 Mo 0.0000 0.5000 0.7499  6 W 2.69-2.70, 2 Si 2.70
3 W 0.0000 0.0000 0.5000  4 Si 2.69, 2 W 2.70, 2 Mo 2.70
4 W 0.0000 0.5000 0.2495  4 Mo 2.69, 2 W 2.70, 2 Si 2.71

Values from the calculation:
Fermi-level density of states (states/eV per atom): 0.5997
Calculated volume (A^3/atom): 15.1


iv:
DFT (PBE-GGA) results for SiMoW2 after structural relaxation.

Lattice parameters (Å, degrees): 2.8358 2.8358 26.6716 90.00 90.00 120.00
Closest atoms and distances in Å follow each position.
Space group R-3m (No. 166, hexagonal axes)
Symmetry-distinct sites (fractional):
1 Si 0.0000 0.0000 0.0000  6 W 2.67, 6 Si 2.84
2 Mo 0.0000 0.0000 0.5000  6 Mo 2.84, 6 W 2.85
3 W 0.0000 0.0000 0.2543  3 Si 2.67, 6 W 2.84, 3 Mo 2.85

Values from the calculation:
Fermi-level density of states (states/eV per atom): 0.9372
Calculated volume (A^3/atom): 15.5


Energy comparison, zero being the most stable, in kJ/mol of atoms: i 13.8; ii 13.2; iii 0.0; iv 28.9.


i:
DFT (PBE-GGA) results for SiMoW2 after structural relaxation.

Lattice parameters (Å, degrees): 3.8779 3.8779 8.1441 90.00 90.00 90.00
Closest atoms and distances in Å follow each position.
Space group I-4m2 (No. 119)
Symmetry-distinct sites (fractional):
1 Si 0.0000 0.0000 0.0000  8 W 2.74-2.81, 4 Mo 2.81
2 Mo 0.0000 0.5000 0.2500  8 W 2.74-2.81, 4 Si 2.81
3 W 0.0000 0.0000 0.5000  4 Si 2.74, 4 W 2.81, 4 Mo 2.81
4 W 0.0000 0.5000 0.7500  4 Mo 2.74, 4 W 2.81, 4 Si 2.81

Values from the calculation:
Fermi-level density of states (states/eV per atom): 0.6871
Calculated volume (A^3/atom): 15.3


ii:
DFT (PBE-GGA) results for SiMoW2 after structural relaxation.

Lattice parameters (Å, degrees): 2.7444 4.3882 5.2553 90.00 104.90 90.00
Closest atoms and distances in Å follow each position.
Space group P2/m (No. 10)
Symmetry-distinct sites (fractional):
1 Si 0.0000 0.0000 0.0000  2 Mo 2.63, 4 W 2.74, 2 Si 2.74
2 Mo 0.5000 0.0000 0.5000  2 Si 2.63, 4 W 2.73, 2 Mo 2.74
3 W 0.2663 0.5000 0.7554  4 W 2.56-2.74, 2 Mo 2.73, 2 Si 2.74

Values from the calculation:
Fermi-level density of states (states/eV per atom): 0.4013
Calculated volume (A^3/atom): 15.3


Energy comparison, zero being the most stable, in kJ/mol of atoms: i 5.2; ii 0.0.


i:
DFT (PBE-GGA) results for SiMoW2 after structural relaxation.

Lattice parameters (Å, degrees): 3.1872 4.3577 4.3741 90.00 90.00 90.00
Closest atoms and distances in Å follow each position.
Space group Pmmm (No. 47)
Symmetry-distinct sites (fractional):
1 Si 0.0000 0.0000 0.0000  4 Mo 2.70, 4 W 2.71
2 Mo 0.5000 0.5000 0.0000  4 Si 2.70, 4 W 2.71
3 W 0.0000 0.5000 0.5000  4 W 2.70, 4 Mo 2.71
4 W 0.5000 0.0000 0.5000  4 W 2.70, 4 Si 2.71

Values from the calculation:
Fermi-level density of states (states/eV per atom): 1.2429
Calculated volume (A^3/atom): 15.2


ii:
DFT (PBE-GGA) results for SiMoW2 after structural relaxation.

Lattice parameters (Å, degrees): 3.2570 3.2570 5.7431 90.00 90.00 90.00
Closest atoms and distances in Å follow each position.
Space group P4mm (No. 99)
Symmetry-distinct sites (fractional):
1 Si 0.0000 0.0000 0.0000  4 Mo 2.65, 6 W 2.69-2.88
2 Mo 0.5000 0.5000 0.7711  4 Si 2.65, 5 W 2.70-2.79
3 W 0.0000 0.0000 0.4978  4 W 2.73, 4 Mo 2.79, 2 Si 2.86-2.88
4 W 0.5000 0.5000 0.2412  4 Si 2.69, 1 Mo 2.70, 4 W 2.73

Values from the calculation:
Fermi-level density of states (states/eV per atom): 0.5933
Calculated volume (A^3/atom): 15.2


Energy comparison, zero being the most stable, in kJ/mol of atoms: i 7.2; ii 0.0.


i:
DFT (PBE-GGA) results for SiMoW2 after structural relaxation.

Lattice parameters (Å, degrees): 3.2742 3.2742 5.6862 90.00 90.00 90.00
Closest atoms and distances in Å follow each position.
Space group P4/mmm (No. 123)
Symmetry-distinct sites (fractional):
1 Si 0.0000 0.0000 0.0000  8 W 2.67, 2 Mo 2.84
2 Mo 0.0000 0.0000 0.5000  8 W 2.76, 2 Si 2.84
3 W 0.5000 0.5000 0.2349  1 W 2.67, 4 Si 2.67, 4 Mo 2.76

Values from the calculation:
Fermi-level density of states (states/eV per atom): 0.6091
Calculated volume (A^3/atom): 15.2


ii:
DFT (PBE-GGA) results for SiMoW2 after structural relaxation.

Lattice parameters (Å, degrees): 6.9235 6.9235 5.5008 90.00 90.00 90.00
Closest atoms and distances in Å follow each position.
Space group I-42d (No. 122)
Symmetry-distinct sites (fractional):
1 Si 0.0000 0.0000 0.0000  4 W 2.43
2 Mo 0.0000 0.0000 0.5000  4 W 2.66, 2 Si 2.75
3 W 0.2262 0.7500 0.1250  2 Si 2.43, 2 Mo 2.66

Values from the calculation:
Fermi-level density of states (states/eV per atom): 0.6678
Calculated volume (A^3/atom): 16.5


iii:
DFT (PBE-GGA) results for SiMoW2 after structural relaxation.

Lattice parameters (Å, degrees): 2.7490 4.3756 5.2645 90.00 104.85 90.00
Closest atoms and distances in Å follow each position.
Space group Pm (No. 6)
Symmetry-distinct sites (fractional):
1 Si 0.0000 0.0000 0.0000  4 W 2.63-2.78, 2 Mo 2.70, 2 Si 2.75
2 Mo 0.5201 0.5000 0.7603  4 W 2.54-2.74, 2 Si 2.70, 2 Mo 2.75
3 W 0.0335 0.0000 0.5030  2 Si 2.63-2.64, 4 W 2.73-2.75, 2 Mo 2.74
4 W 0.5507 0.5000 0.2462  2 Mo 2.54-2.73, 4 W 2.73-2.75, 2 Si 2.78

Values from the calculation:
Fermi-level density of states (states/eV per atom): 0.5001
Calculated volume (A^3/atom): 15.3


Energy comparison, zero being the most stable, in kJ/mol of atoms: i 0.0; ii 72.6; iii 2.1.